# RbTeP, optimized geometry, DFT PBE
data_RbTeP
_chemical_formula_sum 'Rb2 Te2 P2'
_cell_length_a 5.262
_cell_length_b 7.095
_cell_length_c 7.194
_cell_angle_alpha 99.57
_cell_angle_beta 106.38
_cell_angle_gamma 108.16
_symmetry_space_group_name_H-M 'P 1'
_symmetry_Int_Tables_number 1
_symmetry_space_group_name_Hall 'P 1'
loop_
_atom_site_label
_atom_site_fract_x
_atom_site_fract_y
_atom_site_fract_z
_atom_site_occupancy
Rb1 0.000 0.000 0.000 1
Rb2 0.319 0.405 0.613 1
Te1 0.598 0.966 0.410 1
Te2 0.764 0.466 0.148 1
P1 0.317 0.898 0.634 1
P2 0.867 0.707 0.476 1
# - E above lowest polymorph (meV per atom) = 50.5
# - energy relative to the elements, uncorrected (eV/atom) = -0.429
# - magnetization (μB/atom) = 0.00